{"formula": "Ta2FeTe", "functional": "GGA-PBE", "state": "optimized geometry", "cell": [[3.2452, 0.0000, 0.0000], [-1.6226, 2.8104, 0.0000], [0.0000, 0.0000, 24.5731]], "species": ["Ta", "Ta", "Ta", "Ta", "Ta", "Ta", "Fe", "Fe", "Fe", "Te", "Te", "Te"], "fractional_positions": [[0.0000, 0.0000, 0.0000], [0.0000, 0.0000, 0.2445], [0.3333, 0.6667, 0.6667], [0.3333, 0.6667, 0.9111], [0.6667, 0.3333, 0.3333], [0.6667, 0.3333, 0.5778], [0.0000, 0.0000, 0.5063], [0.3333, 0.6667, 0.1730], [0.6667, 0.3333, 0.8396], [0.0000, 0.0000, 0.7533], [0.3333, 0.6667, 0.4200], [0.6667, 0.3333, 0.0867]], "formation_energy_uncorrected_ev_per_fu": 1.3, "space_group": "R3m", "total_energy_ev_per_atom": -8.51}

***

{"formula": "Dy4CuAu3", "functional": "GGA-PBE", "state": "optimized geometry", "cell": [[3.7207, 0.0000, 0.0000], [0.0000, 4.6409, 0.0000], [0.0000, 0.0000, 10.9030]], "species": ["Dy", "Dy", "Dy", "Dy", "Cu", "Au", "Au", "Au"], "fractional_positions": [[0.0000, 0.0000, 0.0000], [0.0000, 0.5000, 0.2719], [0.5000, 0.0000, 0.4908], [0.5000, 0.5000, 0.7755], [0.5000, 0.0000, 0.2156], [0.0000, 0.0000, 0.7239], [0.0000, 0.5000, 0.5458], [0.5000, 0.5000, 0.0556]], "space_group": "Pmm2", "e_form_ev_per_atom": -0.720, "total_energy_ev_per_atom": -4.76}

***

{"formula": "LiSm5Hg8", "functional": "GGA-PBE", "state": "optimized geometry", "cell": [[-4.5321, 4.5321, 4.5201], [4.5321, -4.5321, 4.5201], [4.5321, 4.5321, -4.5201]], "species": ["Li", "Sm", "Sm", "Sm", "Sm", "Sm", "Hg", "Hg", "Hg", "Hg", "Hg", "Hg", "Hg", "Hg"], "fractional_positions": [[0.0000, 0.0000, 0.0000], [0.1497, 0.2812, 0.6408], [0.2500, 0.7500, 0.5000], [0.4911, 0.8503, 0.1315], [0.6404, 0.5089, 0.3592], [0.7188, 0.3596, 0.8685], [0.0245, 0.6393, 0.7722], [0.1811, 0.4214, 0.0796], [0.3418, 0.1014, 0.9204], [0.3607, 0.1329, 0.3852], [0.5786, 0.6582, 0.7597], [0.7476, 0.9755, 0.6148], [0.8671, 0.2524, 0.2278], [0.8986, 0.8189, 0.2403]], "space_group": "I-4", "e_form_ev_per_atom": -0.405, "total_energy_ev_per_atom": -2.40}